Entry 1:
This record from Alexandria describes a relaxed structure of KSiRh3. The functional is PBE.

Computed properties:
- final energy (eV/f.u.) = -17.20
- symmetry = Pm-3m
- energy relative to the elements, uncorrected (eV/atom) = 2.2755

a = 4.698 Å, b = 4.698 Å, c = 4.698 Å
α = 90.00°, β = 90.00°, γ = 90.00°
Sites, in units of the cell vectors:
K  0.000  0.000  0.000
Si  0.500  0.500  0.500
Rh  0.000  0.000  0.500
Rh  0.000  0.500  0.000
Rh  0.500  0.000  0.000

***

Entry 2:
This record from Alexandria describes a relaxed structure of Li8MgHg4. The functional is PBE.

Computed properties:
- DFT formation energy (kcal/mol of atoms) = -5.2
- final energy (eV/f.u.) = -21.04
- symmetry = Pmm2

a = 3.448 Å, b = 4.381 Å, c = 16.156 Å
α = 90.00°, β = 90.00°, γ = 90.00°
Sites, in units of the cell vectors:
Li  0.000  0.000  0.000
Li  0.000  0.000  0.266
Li  0.000  0.500  0.143
Li  0.000  0.500  0.427
Li  0.500  0.000  0.409
Li  0.500  0.000  0.683
Li  0.500  0.500  0.581
Li  0.500  0.500  0.985
Mg  0.500  0.000  0.852
Hg  0.000  0.000  0.543
Hg  0.000  0.500  0.753
Hg  0.500  0.000  0.127
Hg  0.500  0.500  0.290

***

Entry 3:
This record from Alexandria describes a relaxed structure of Dy6GeTe3Rh2. The functional is PBE.

Computed properties:
- final energy (eV/f.u.) = -69.00
- symmetry = C2/m
- energy relative to the elements, uncorrected (eV/atom) = -1.0536

a = 7.189 Å, b = 7.189 Å, c = 7.621 Å
α = 99.12°, β = 99.12°, γ = 120.04°
Sites, in units of the cell vectors:
Dy  0.087  0.430  0.787
Dy  0.229  0.229  0.212
Dy  0.430  0.087  0.787
Dy  0.570  0.913  0.213
Dy  0.771  0.771  0.788
Dy  0.913  0.570  0.213
Ge  0.500  0.500  0.000
Te  0.000  0.000  0.500
Te  0.336  0.664  0.500
Te  0.664  0.336  0.500
Rh  0.167  0.833  0.000
Rh  0.833  0.167  0.000

***

Entry 4:
This record from Alexandria describes a relaxed structure of Na3Sr2Au2. The functional is PBE.

Computed properties:
- DFT formation energy (kcal/mol of atoms) = -7.0
- final energy (eV/f.u.) = -16.02
- symmetry = P2/m

a = 4.442 Å, b = 4.335 Å, c = 14.638 Å
α = 90.00°, β = 98.60°, γ = 90.00°
Sites, in units of the cell vectors:
Na  0.000  0.000  0.000
Na  0.204  0.000  0.405
Na  0.796  0.000  0.595
Sr  0.393  0.500  0.798
Sr  0.607  0.500  0.202
Au  0.108  0.000  0.204
Au  0.892  0.000  0.796